# BaNaTa2O7 (PBE, optimized geometry)
# Uncorrected formation energy in eV per atom: -2.59
# Total energy in eV/atom: -8.194
data_BaNaTa2O7
_symmetry_space_group_name_H-M 'I -4 m 2'
_symmetry_Int_Tables_number 119
_symmetry_space_group_name_Hall 'I -4 -2'
_cell_length_a 3.9645
_cell_length_b 3.9645
_cell_length_c 22.0746
_cell_angle_alpha 90.00
_cell_angle_beta 90.00
_cell_angle_gamma 90.00
loop_
_atom_site_label
_atom_site_fract_x
_atom_site_fract_y
_atom_site_fract_z
_atom_site_occupancy
Ba1 0.0000 0.0000 0.0000 1
Na1 0.0000 0.5000 0.2500 1
Ta1 0.0000 0.0000 0.3896 1
O1 0.0000 0.0000 0.3081 1
O2 0.0000 0.0000 0.5000 1
O3 0.0000 0.5000 0.0944 1
O4 0.0000 0.5000 0.5935 1

=====

# Er6Zn5Co (PBE, optimized geometry)
# Total energy in eV/atom: -3.741
data_Er6Zn5Co
_symmetry_space_group_name_H-M 'C m m m'
_symmetry_Int_Tables_number 65
_symmetry_space_group_name_Hall '-C 2 2'
_cell_length_a 4.9396
_cell_length_b 14.7746
_cell_length_c 7.0044
_cell_angle_alpha 90.00
_cell_angle_beta 90.00
_cell_angle_gamma 90.00
loop_
_atom_site_label
_atom_site_fract_x
_atom_site_fract_y
_atom_site_fract_z
_atom_site_occupancy
Er1 0.0000 0.0000 0.2379 1
Er2 0.0000 0.3400 0.2435 1
Zn1 0.0000 0.1693 0.5000 1
Zn2 0.0000 0.1735 0.0000 1
Zn3 0.0000 0.5000 0.5000 1
Co1 0.0000 0.5000 0.0000 1

=====

# TbReBrO4 (PBE, optimized geometry)
# Uncorrected formation energy in eV per atom: -2.07
# Total energy in eV/atom: -7.584
data_TbReBrO4
_symmetry_space_group_name_H-M 'C 1 2/m 1'
_symmetry_Int_Tables_number 12
_symmetry_space_group_name_Hall '-C 2y'
_cell_length_a 10.7189
_cell_length_b 7.0974
_cell_length_c 7.0118
_cell_angle_alpha 90.00
_cell_angle_beta 105.33
_cell_angle_gamma 90.00
loop_
_atom_site_label
_atom_site_fract_x
_atom_site_fract_y
_atom_site_fract_z
_atom_site_occupancy
Tb1 0.2262 0.0000 0.1033 1
Re1 0.1314 0.5000 0.2805 1
Br1 0.0072 0.0000 0.7545 1
O1 0.0385 0.5000 0.7912 1
O2 0.2003 0.3209 0.1436 1
O3 0.2058 0.5000 0.5357 1

=====

# AcMg2Pt3 (PBE, optimized geometry)
# Total energy in eV/atom: -5.053
data_AcMg2Pt3
_symmetry_space_group_name_H-M 'C m c m'
_symmetry_Int_Tables_number 63
_symmetry_space_group_name_Hall '-C 2c 2'
_cell_length_a 10.5981
_cell_length_b 8.9543
_cell_length_c 5.6063
_cell_angle_alpha 90.00
_cell_angle_beta 90.00
_cell_angle_gamma 90.00
loop_
_atom_site_label
_atom_site_fract_x
_atom_site_fract_y
_atom_site_fract_z
_atom_site_occupancy
Ac1 0.0000 0.2246 0.2500 1
Mg1 0.2133 0.5000 0.0000 1
Pt1 0.0000 0.4313 0.7500 1
Pt2 0.2086 0.2365 0.7500 1

=====

# CsTl2InCu (PBE, optimized geometry)
# Total energy in eV/atom: -2.360
data_CsTl2InCu
_symmetry_space_group_name_H-M 'P 4/m m m'
_symmetry_Int_Tables_number 123
_symmetry_space_group_name_Hall '-P 4 2'
_cell_length_a 5.5542
_cell_length_b 5.5542
_cell_length_c 5.3669
_cell_angle_alpha 90.00
_cell_angle_beta 90.00
_cell_angle_gamma 90.00
loop_
_atom_site_label
_atom_site_fract_x
_atom_site_fract_y
_atom_site_fract_z
_atom_site_occupancy
Cs1 0.0000 0.0000 0.0000 1
Tl1 0.0000 0.5000 0.5000 1
In1 0.5000 0.5000 0.0000 1
Cu1 0.5000 0.5000 0.5000 1

=====

# PRh2W (PBE, optimized geometry)
# Total energy in eV/atom: -8.080
data_PRh2W
_symmetry_space_group_name_H-M 'P 4/m m m'
_symmetry_Int_Tables_number 123
_symmetry_space_group_name_Hall '-P 4 2'
_cell_length_a 4.6105
_cell_length_b 4.6105
_cell_length_c 2.7742
_cell_angle_alpha 90.00
_cell_angle_beta 90.00
_cell_angle_gamma 90.00
loop_
_atom_site_label
_atom_site_fract_x
_atom_site_fract_y
_atom_site_fract_z
_atom_site_occupancy
P1 0.0000 0.0000 0.0000 1
Rh1 0.0000 0.5000 0.5000 1
W1 0.5000 0.5000 0.0000 1

=====

# CaErGaRh (PBE, optimized geometry)
# Total energy in eV/atom: -4.760
data_CaErGaRh
_symmetry_space_group_name_H-M 'F -4 3 m'
_symmetry_Int_Tables_number 216
_symmetry_space_group_name_Hall 'F -4 2 3'
_cell_length_a 6.9853
_cell_length_b 6.9853
_cell_length_c 6.9853
_cell_angle_alpha 90.00
_cell_angle_beta 90.00
_cell_angle_gamma 90.00
loop_
_atom_site_label
_atom_site_fract_x
_atom_site_fract_y
_atom_site_fract_z
_atom_site_occupancy
Ca1 0.0000 0.0000 0.0000 1
Er1 0.0000 0.0000 0.5000 1
Ga1 0.2500 0.2500 0.2500 1
Rh1 0.2500 0.2500 0.7500 1

=====

# Cr2PSe2 (PBE, optimized geometry)
# Uncorrected formation energy in eV per atom: 0.40
# Total energy in eV/atom: -5.920
data_Cr2PSe2
_symmetry_space_group_name_H-M 'I 4/m m m'
_symmetry_Int_Tables_number 139
_symmetry_space_group_name_Hall '-I 4 2'
_cell_length_a 3.8800
_cell_length_b 3.8800
_cell_length_c 12.3637
_cell_angle_alpha 90.00
_cell_angle_beta 90.00
_cell_angle_gamma 90.00
loop_
_atom_site_label
_atom_site_fract_x
_atom_site_fract_y
_atom_site_fract_z
_atom_site_occupancy
Cr1 0.0000 0.0000 0.1087 1
P1 0.0000 0.0000 0.5000 1
Se1 0.0000 0.5000 0.2500 1